# GaMo2Pd | the Alexandria database | PBE | relaxed
data_GaMo2Pd
_cell_length_a 7.154
_cell_length_b 7.154
_cell_length_c 5.200
_cell_angle_alpha 90.00
_cell_angle_beta 90.00
_cell_angle_gamma 90.00
_space_group_name_H-M_alt 'I -4 2 d'
_space_group_IT_number 122
_space_group_name_Hall 'I -4 2bw'
loop_
_atom_site_label
_atom_site_fract_x
_atom_site_fract_y
_atom_site_fract_z
Ga1 0.000 0.000 0.000
Mo1 0.243 0.250 0.125
Pd1 0.000 0.000 0.500
# energy of formation from the pure elements	0.480	eV/atom
# calculated total energy	-6.9904	eV per atom
# Fermi-level density of states	1.071	states/eV/atom

# GaMoPd | the Alexandria database | PBE | relaxed
data_GaMoPd
_cell_length_a 3.189
_cell_length_b 3.189
_cell_length_c 19.614
_cell_angle_alpha 90.00
_cell_angle_beta 90.00
_cell_angle_gamma 90.00
_space_group_name_H-M_alt 'I 4/m m m'
_space_group_IT_number 139
_space_group_name_Hall '-I 4 2'
loop_
_atom_site_label
_atom_site_fract_x
_atom_site_fract_y
_atom_site_fract_z
Ga1 0.000 0.000 0.133
Mo1 0.000 0.000 0.284
Pd1 0.000 0.000 0.432
# energy of formation from the pure elements	-0.187	eV/atom
# calculated total energy	-6.5370	eV per atom
# relative energy among the computed polymorphs	0.007	eV/atom
# Fermi-level density of states	0.655	states/eV/atom

# GaMoPd | the Alexandria database | PBE | relaxed
data_GaMoPd
_cell_length_a 2.783
_cell_length_b 2.783
_cell_length_c 11.708
_cell_angle_alpha 90.00
_cell_angle_beta 90.00
_cell_angle_gamma 90.00
_space_group_name_H-M_alt 'I 4 m m'
_space_group_IT_number 107
_space_group_name_Hall 'I 4 -2'
loop_
_atom_site_label
_atom_site_fract_x
_atom_site_fract_y
_atom_site_fract_z
Ga1 0.000 0.000 0.000
Mo1 0.000 0.000 0.669
Pd1 0.000 0.000 0.340
# energy of formation from the pure elements	-0.193	eV/atom
# calculated total energy	-6.5436	eV per atom
# relative energy among the computed polymorphs	0.000	eV/atom
# Fermi-level density of states	0.922	states/eV/atom

# TaGa2MoPd | the Alexandria database | PBE | relaxed
data_TaGa2MoPd
_cell_length_a 4.811
_cell_length_b 4.811
_cell_length_c 4.774
_cell_angle_alpha 90.00
_cell_angle_beta 90.00
_cell_angle_gamma 90.00
_space_group_name_H-M_alt 'P 4/m m m'
_space_group_IT_number 123
_space_group_name_Hall '-P 4 2'
loop_
_atom_site_label
_atom_site_fract_x
_atom_site_fract_y
_atom_site_fract_z
Ta1 0.000 0.000 0.000
Ga1 0.000 0.500 0.500
Mo1 0.000 0.000 0.500
Pd1 0.500 0.500 0.000
# energy of formation from the pure elements	0.892	eV/atom
# calculated total energy	-5.8937	eV per atom
# Fermi-level density of states	0.716	states/eV/atom

# GaTcMoPd2 | the Alexandria database | PBE | relaxed
data_GaTcMoPd2
_cell_length_a 4.873
_cell_length_b 4.873
_cell_length_c 4.569
_cell_angle_alpha 90.00
_cell_angle_beta 90.00
_cell_angle_gamma 90.00
_space_group_name_H-M_alt 'P 4/m m m'
_space_group_IT_number 123
_space_group_name_Hall '-P 4 2'
loop_
_atom_site_label
_atom_site_fract_x
_atom_site_fract_y
_atom_site_fract_z
Ga1 0.000 0.000 0.000
Tc1 0.500 0.500 0.000
Mo1 0.500 0.500 0.500
Pd1 0.000 0.500 0.500
# energy of formation from the pure elements	1.178	eV/atom
# calculated total energy	-5.7438	eV per atom
# Fermi-level density of states	0.898	states/eV/atom

# GaTeMo2Pd | the Alexandria database | PBE | relaxed
data_GaTeMo2Pd
_cell_length_a 4.948
_cell_length_b 4.948
_cell_length_c 5.152
_cell_angle_alpha 90.00
_cell_angle_beta 90.00
_cell_angle_gamma 90.00
_space_group_name_H-M_alt 'P 4/m m m'
_space_group_IT_number 123
_space_group_name_Hall '-P 4 2'
loop_
_atom_site_label
_atom_site_fract_x
_atom_site_fract_y
_atom_site_fract_z
Ga1 0.000 0.000 0.000
Te1 0.000 0.000 0.500
Mo1 0.000 0.500 0.500
Pd1 0.500 0.500 0.000
# formation energy without anion corrections	1.759	eV/atom
# calculated total energy	-4.8457	eV per atom
# Fermi-level density of states	0.826	states/eV/atom

# TiGaMoPd | the Alexandria database | PBE | relaxed
data_TiGaMoPd
_cell_length_a 6.260
_cell_length_b 6.260
_cell_length_c 6.260
_cell_angle_alpha 90.00
_cell_angle_beta 90.00
_cell_angle_gamma 90.00
_space_group_name_H-M_alt 'F -4 3 m'
_space_group_IT_number 216
_space_group_name_Hall 'F -4 2 3'
loop_
_atom_site_label
_atom_site_fract_x
_atom_site_fract_y
_atom_site_fract_z
Ti1 0.000 0.000 0.000
Ga1 0.000 0.000 0.500
Mo1 0.250 0.250 0.750
Pd1 0.250 0.250 0.250
# energy of formation from the pure elements	-0.261	eV/atom
# calculated total energy	-6.9970	eV per atom
# Fermi-level density of states	1.704	states/eV/atom

# PmGa6Mo | the Alexandria database | PBE | relaxed
data_PmGa6Mo
_cell_length_a 6.913
_cell_length_b 9.559
_cell_length_c 5.913
_cell_angle_alpha 90.00
_cell_angle_beta 122.26
_cell_angle_gamma 90.00
_space_group_name_H-M_alt 'C 1 2/m 1'
_space_group_IT_number 12
_space_group_name_Hall '-C 2y'
loop_
_atom_site_label
_atom_site_fract_x
_atom_site_fract_y
_atom_site_fract_z
Pm1 0.000 0.000 0.000
Ga1 0.056 0.279 0.776
Ga2 0.224 0.000 0.665
Mo1 0.000 0.500 0.500
# energy of formation from the pure elements	-0.089	eV/atom
# calculated total energy	-4.3065	eV per atom
# Fermi-level density of states	0.382	states/eV/atom

# PmGaMo | the Alexandria database | PBE | relaxed
data_PmGaMo
_cell_length_a 5.550
_cell_length_b 3.204
_cell_length_c 14.685
_cell_angle_alpha 90.00
_cell_angle_beta 97.03
_cell_angle_gamma 90.00
_space_group_name_H-M_alt 'C 1 2/m 1'
_space_group_IT_number 12
_space_group_name_Hall '-C 2y'
loop_
_atom_site_label
_atom_site_fract_x
_atom_site_fract_y
_atom_site_fract_z
Pm1 0.209 0.000 0.123
Ga1 0.097 0.500 0.295
Mo1 0.188 0.500 0.561
# energy of formation from the pure elements	0.114	eV/atom
# calculated total energy	-6.0890	eV per atom
# Fermi-level density of states	0.641	states/eV/atom

# PrGa2Mo | the Alexandria database | PBE | relaxed
data_PrGa2Mo
_cell_length_a 3.1048
_cell_length_b 3.1048
_cell_length_c 28.8200
_cell_angle_alpha 90.00
_cell_angle_beta 90.00
_cell_angle_gamma 120.00
_space_group_name_H-M_alt 'R -3 m'
_space_group_IT_number 166
_space_group_name_Hall '-R 3 2"'
loop_
_atom_site_label
_atom_site_fract_x
_atom_site_fract_y
_atom_site_fract_z
Pr1 0.0000 0.0000 0.0000
Ga1 0.0000 0.0000 0.2389
Mo1 0.0000 0.0000 0.5000
# energy of formation from the pure elements	0.103	eV/atom
# calculated total energy	-5.3126	eV per atom
# Fermi-level density of states	0.702	states/eV/atom

# Ga2MoPt8 | the Alexandria database | PBE | relaxed
data_Ga2MoPt8
_cell_length_a 14.181
_cell_length_b 4.018
_cell_length_c 6.384
_cell_angle_alpha 90.00
_cell_angle_beta 110.12
_cell_angle_gamma 90.00
_space_group_name_H-M_alt 'C 1 2/m 1'
_space_group_IT_number 12
_space_group_name_Hall '-C 2y'
loop_
_atom_site_label
_atom_site_fract_x
_atom_site_fract_y
_atom_site_fract_z
Ga1 0.214 0.000 0.152
Mo1 0.000 0.500 0.500
Pt1 0.040 0.000 0.230
Pt2 0.106 0.500 0.955
Pt3 0.141 0.000 0.693
Pt4 0.178 0.500 0.429
# energy of formation from the pure elements	-0.371	eV/atom
# calculated total energy	-6.2991	eV per atom
# Fermi-level density of states	0.810	states/eV/atom

# Ga2MoPt | the Alexandria database | PBE | relaxed
data_Ga2MoPt
_cell_length_a 6.229
_cell_length_b 6.229
_cell_length_c 6.229
_cell_angle_alpha 90.00
_cell_angle_beta 90.00
_cell_angle_gamma 90.00
_space_group_name_H-M_alt 'F m -3 m'
_space_group_IT_number 225
_space_group_name_Hall '-F 4 2 3'
loop_
_atom_site_label
_atom_site_fract_x
_atom_site_fract_y
_atom_site_fract_z
Ga1 0.250 0.250 0.250
Mo1 0.000 0.000 0.000
Pt1 0.000 0.000 0.500
# energy of formation from the pure elements	-0.184	eV/atom
# calculated total energy	-5.9153	eV per atom
# relative energy among the computed polymorphs	0.125	eV/atom
# Fermi-level density of states	0.947	states/eV/atom

# GaMo2Pt | the Alexandria database | PBE | relaxed
data_GaMo2Pt
_cell_length_a 7.138
_cell_length_b 7.138
_cell_length_c 5.326
_cell_angle_alpha 90.00
_cell_angle_beta 90.00
_cell_angle_gamma 90.00
_space_group_name_H-M_alt 'I -4 2 d'
_space_group_IT_number 122
_space_group_name_Hall 'I -4 2bw'
loop_
_atom_site_label
_atom_site_fract_x
_atom_site_fract_y
_atom_site_fract_z
Ga1 0.000 0.000 0.000
Mo1 0.250 0.250 0.125
Pt1 0.000 0.000 0.500
# energy of formation from the pure elements	0.367	eV/atom
# calculated total energy	-7.3156	eV per atom
# Fermi-level density of states	0.949	states/eV/atom

# GaMoPt6 | the Alexandria database | PBE | relaxed
data_GaMoPt6
_cell_length_a 3.956
_cell_length_b 3.956
_cell_length_c 7.938
_cell_angle_alpha 90.00
_cell_angle_beta 90.00
_cell_angle_gamma 90.00
_space_group_name_H-M_alt 'P 4/m m m'
_space_group_IT_number 123
_space_group_name_Hall '-P 4 2'
loop_
_atom_site_label
_atom_site_fract_x
_atom_site_fract_y
_atom_site_fract_z
Ga1 0.000 0.000 0.000
Mo1 0.000 0.000 0.500
Pt1 0.000 0.500 0.255
Pt2 0.500 0.500 0.000
Pt3 0.500 0.500 0.500
# energy of formation from the pure elements	-0.343	eV/atom
# calculated total energy	-6.6055	eV per atom
# Fermi-level density of states	0.668	states/eV/atom

# Ga2Mo2Pt | the Alexandria database | PBE | relaxed
data_Ga2Mo2Pt
_cell_length_a 6.538
_cell_length_b 6.538
_cell_length_c 3.642
_cell_angle_alpha 90.00
_cell_angle_beta 90.00
_cell_angle_gamma 90.00
_space_group_name_H-M_alt 'P 4/m b m'
_space_group_IT_number 127
_space_group_name_Hall '-P 4 2ab'
loop_
_atom_site_label
_atom_site_fract_x
_atom_site_fract_y
_atom_site_fract_z
Ga1 0.132 0.368 0.000
Mo1 0.171 0.671 0.500
Pt1 0.000 0.000 0.000
# energy of formation from the pure elements	-0.055	eV/atom
# calculated total energy	-6.8061	eV per atom
# Fermi-level density of states	0.648	states/eV/atom

# GaMo2Pt2 | the Alexandria database | PBE | relaxed
data_GaMo2Pt2
_cell_length_a 3.805
_cell_length_b 3.805
_cell_length_c 12.204
_cell_angle_alpha 90.00
_cell_angle_beta 90.00
_cell_angle_gamma 90.00
_space_group_name_H-M_alt 'I 4/m m m'
_space_group_IT_number 139
_space_group_name_Hall '-I 4 2'
loop_
_atom_site_label
_atom_site_fract_x
_atom_site_fract_y
_atom_site_fract_z
Ga1 0.000 0.000 0.000
Mo1 0.000 0.000 0.405
Pt1 0.000 0.500 0.250
# energy of formation from the pure elements	0.195	eV/atom
# calculated total energy	-7.1593	eV per atom
# relative energy among the computed polymorphs	0.136	eV/atom
# Fermi-level density of states	0.753	states/eV/atom

# Ga2MoPt | the Alexandria database | PBE | relaxed
data_Ga2MoPt
_cell_length_a 6.974
_cell_length_b 6.974
_cell_length_c 5.593
_cell_angle_alpha 90.00
_cell_angle_beta 90.00
_cell_angle_gamma 90.00
_space_group_name_H-M_alt 'I -4 2 d'
_space_group_IT_number 122
_space_group_name_Hall 'I -4 2bw'
loop_
_atom_site_label
_atom_site_fract_x
_atom_site_fract_y
_atom_site_fract_z
Ga1 0.234 0.250 0.125
Mo1 0.000 0.000 0.500
Pt1 0.000 0.000 0.000
# energy of formation from the pure elements	0.101	eV/atom
# calculated total energy	-5.6300	eV per atom
# relative energy among the computed polymorphs	0.411	eV/atom
# Fermi-level density of states	0.817	states/eV/atom

# Ga2MoPt | the Alexandria database | PBE | relaxed
data_Ga2MoPt
_cell_length_a 2.8338
_cell_length_b 2.8338
_cell_length_c 28.2837
_cell_angle_alpha 90.00
_cell_angle_beta 90.00
_cell_angle_gamma 120.00
_space_group_name_H-M_alt 'R -3 m'
_space_group_IT_number 166
_space_group_name_Hall '-R 3 2"'
loop_
_atom_site_label
_atom_site_fract_x
_atom_site_fract_y
_atom_site_fract_z
Ga1 0.0000 0.0000 0.0885
Mo1 0.0000 0.0000 0.5000
Pt1 0.0000 0.0000 0.0000
# energy of formation from the pure elements	-0.054	eV/atom
# calculated total energy	-5.7852	eV per atom
# relative energy among the computed polymorphs	0.256	eV/atom
# Fermi-level density of states	0.634	states/eV/atom

# Ga2MoPt2 | the Alexandria database | PBE | relaxed
data_Ga2MoPt2
_cell_length_a 7.473
_cell_length_b 7.473
_cell_length_c 2.783
_cell_angle_alpha 90.00
_cell_angle_beta 90.00
_cell_angle_gamma 90.00
_space_group_name_H-M_alt 'P 4/m b m'
_space_group_IT_number 127
_space_group_name_Hall '-P 4 2ab'
loop_
_atom_site_label
_atom_site_fract_x
_atom_site_fract_y
_atom_site_fract_z
Ga1 0.144 0.356 0.000
Mo1 0.000 0.000 0.000
Pt1 0.155 0.655 0.500
# energy of formation from the pure elements	-0.293	eV/atom
# calculated total energy	-6.0859	eV per atom
# relative energy among the computed polymorphs	0.000	eV/atom
# Fermi-level density of states	0.720	states/eV/atom

# GaMo2Pt2 | the Alexandria database | PBE | relaxed
data_GaMo2Pt2
_cell_length_a 7.935
_cell_length_b 7.935
_cell_length_c 2.750
_cell_angle_alpha 90.00
_cell_angle_beta 90.00
_cell_angle_gamma 90.00
_space_group_name_H-M_alt 'P 4/m b m'
_space_group_IT_number 127
_space_group_name_Hall '-P 4 2ab'
loop_
_atom_site_label
_atom_site_fract_x
_atom_site_fract_y
_atom_site_fract_z
Ga1 0.000 0.000 0.000
Mo1 0.121 0.379 0.000
Pt1 0.169 0.669 0.500
# energy of formation from the pure elements	0.059	eV/atom
# calculated total energy	-7.2952	eV per atom
# relative energy among the computed polymorphs	0.000	eV/atom
# Fermi-level density of states	0.649	states/eV/atom